A relaxed structure of RbCdHg3Bi. Source: Alexandria, functional PBE-GGA.

Properties
ΔH_f (0 K) = -0.048 eV/atom
mass density = 7.33 g/cm3
crystal system = orthorhombic

CIF file:
```
data_RbCdHg3Bi
_chemical_formula_sum 'Rb4 Cd4 Hg12 Bi4'
_cell_length_a 8.014
_cell_length_b 16.255
_cell_length_c 7.013
_cell_angle_alpha 90.00
_cell_angle_beta 90.00
_cell_angle_gamma 90.00
_space_group_name_H-M_alt 'C m c m'
_space_group_IT_number 63
_space_group_name_Hall '-C 2c 2'
loop_
_atom_site_label
_atom_site_type_symbol
_atom_site_fract_x
_atom_site_fract_y
_atom_site_fract_z
Rb1 Rb 0.000 0.218 0.250
Cd1 Cd 0.000 0.479 0.750
Hg1 Hg 0.000 0.304 0.750
Hg2 Hg 0.213 0.000 0.000
Bi1 Bi 0.000 0.117 0.750
```